(1)
Entry from Alexandria via LeMat-Bulk: a relaxed Pr8Co3NiBr4 crystal (PBE).

Unit cell a=8.102 b=9.139 c=8.103 alpha=116.32 beta=120.00 gamma=90.00
Fractional coordinates of all 16 atoms:
Pr: 0.234 0.693 0.960
Pr: 0.234 0.693 0.467
Pr: 0.268 0.306 0.537
Pr: 0.726 0.693 0.960
Pr: 0.274 0.307 0.040
Pr: 0.732 0.694 0.463
Pr: 0.766 0.307 0.533
Pr: 0.766 0.307 0.040
Co: 0.500 0.500 0.000
Co: 0.500 0.500 0.500
Co: 0.000 0.500 0.500
Ni: 0.000 0.500 0.000
Br: 0.500 0.000 0.000
Br: 0.500 0.000 0.500
Br: 0.000 0.000 0.000
Br: 0.000 0.000 0.500

The formation energy (no corrections) is -0.74 eV per atom.

***

(2)
Entry from Alexandria via LeMat-Bulk: a relaxed Pr8CoNi3Br4 crystal (PBE).

Unit cell a=8.187 b=9.130 c=8.191 alpha=116.70 beta=119.98 gamma=90.00
Fractional coordinates of all 16 atoms:
Pr: 0.229 0.694 0.966
Pr: 0.229 0.694 0.458
Pr: 0.269 0.306 0.537
Pr: 0.737 0.694 0.966
Pr: 0.263 0.306 0.034
Pr: 0.731 0.694 0.463
Pr: 0.771 0.306 0.542
Pr: 0.771 0.306 0.034
Co: 0.000 0.500 0.000
Ni: 0.500 0.500 0.000
Ni: 0.500 0.500 0.500
Ni: 0.000 0.500 0.500
Br: 0.500 0.000 0.000
Br: 0.500 0.000 0.500
Br: 0.000 0.000 0.000
Br: 0.000 0.000 0.500

The formation energy (no corrections) is -0.78 eV per atom.

***

(3)
Entry from Alexandria via LeMat-Bulk: a relaxed Pr6Co2NiBr3 crystal (PBE).

Unit cell a=4.058 b=9.140 c=10.000 alpha=111.88 beta=101.71 gamma=90.00
Fractional coordinates of all 12 atoms:
Pr: 0.343 0.881 0.686
Pr: 0.680 0.550 0.360
Pr: 0.657 0.119 0.314
Pr: 0.015 0.223 0.029
Pr: 0.985 0.777 0.971
Pr: 0.320 0.450 0.640
Co: 0.834 0.669 0.668
Co: 0.166 0.331 0.332
Ni: 0.500 0.000 0.000
Br: 0.500 0.500 0.000
Br: 0.834 0.167 0.667
Br: 0.166 0.833 0.333

The formation energy (no corrections) is -0.75 eV per atom.